[1]
4
Lattice="3.504 0.000 0.000 0.000 3.504 0.000 0.000 0.000 7.326" Properties=species:S:1:pos:R:3 comment="Tm2BeTl PBE optimized geometry" dos_ef_per_ev_cell=1.82 ef_ev_per_atom=-0.113 crystal_system=tetragonal space_group="P4/mmm, No. 123" magmom_total_mub_per_cell=0.000 pbc="T T T"
Tm 0.000 0.000 1.592
Tm 0.000 0.000 5.735
Be 1.752 1.752 0.000
Tl 1.752 1.752 3.663

---

[2]
5
Lattice="5.412 0.000 0.000 0.000 5.412 0.000 0.000 0.000 5.412" Properties=species:S:1:pos:R:3 comment="BeTl3V PBE optimized geometry" dos_ef_per_ev_cell=2.72 polymorph_energy_mev_per_atom=187 ef_ev_per_atom=1.020 crystal_system=cubic space_group="Pm-3m, No. 221" magmom_total_mub_per_cell=3.521 pbc="T T T"
Be 0.000 0.000 0.000
Tl 0.000 2.706 2.706
Tl 2.706 0.000 2.706
Tl 2.706 2.706 0.000
V 2.706 2.706 2.706

---

[3]
5
Lattice="5.091 0.000 0.000 0.000 5.091 0.000 0.000 0.000 5.091" Properties=species:S:1:pos:R:3 comment="BeTlV3 PBE optimized geometry" dos_ef_per_ev_cell=12.45 polymorph_energy_mev_per_atom=1625 ef_ev_per_atom=2.173 crystal_system=cubic space_group="Pm-3m, No. 221" magmom_total_mub_per_cell=9.563 pbc="T T T"
Be 0.000 0.000 0.000
Tl 2.545 2.545 2.545
V 0.000 2.545 2.545
V 2.545 0.000 2.545
V 2.545 2.545 0.000

---

[4]
5
Lattice="4.385 0.000 0.000 0.000 4.385 0.000 0.000 0.000 4.385" Properties=species:S:1:pos:R:3 comment="Be3TlV PBE optimized geometry" dos_ef_per_ev_cell=4.02 polymorph_energy_mev_per_atom=0 ef_ev_per_atom=1.356 crystal_system=cubic space_group="Pm-3m, No. 221" magmom_total_mub_per_cell=0.448 pbc="T T T"
Be 0.000 0.000 2.193
Be 0.000 2.193 0.000
Be 2.193 0.000 0.000
Tl 2.193 2.193 2.193
V 0.000 0.000 0.000

---

[5]
5
Lattice="4.978 0.000 0.000 0.000 4.978 0.000 0.000 0.000 4.978" Properties=species:S:1:pos:R:3 comment="BeTl3V PBE optimized geometry" dos_ef_per_ev_cell=9.08 polymorph_energy_mev_per_atom=0 ef_ev_per_atom=0.833 crystal_system=cubic space_group="Pm-3m, No. 221" magmom_total_mub_per_cell=3.858 pbc="T T T"
Be 0.000 0.000 0.000
Tl 0.000 0.000 2.489
Tl 0.000 2.489 0.000
Tl 2.489 0.000 0.000
V 2.489 2.489 2.489

---

[6]
10
Lattice="6.220 0.000 0.000 0.000 6.220 0.000 0.000 0.000 3.360" Properties=species:S:1:pos:R:3 comment="Be2TlV2 PBE optimized geometry" dos_ef_per_ev_cell=7.88 ef_ev_per_atom=0.254 crystal_system=tetragonal space_group="P4/mbm, No. 127" magmom_total_mub_per_cell=0.000 pbc="T T T"
Be 0.710 2.400 0.000
Be 2.400 5.510 0.000
Be 3.820 0.710 0.000
Be 5.510 3.820 0.000
Tl 0.000 0.000 0.000
Tl 3.110 3.110 0.000
V 1.051 4.161 1.680
V 2.059 1.051 1.680
V 4.161 5.170 1.680
V 5.170 2.059 1.680

---

[7]
5
Lattice="4.468 0.000 0.000 0.000 4.468 0.000 0.000 0.000 4.468" Properties=species:S:1:pos:R:3 comment="Be3TlV PBE optimized geometry" dos_ef_per_ev_cell=6.47 polymorph_energy_mev_per_atom=160 ef_ev_per_atom=1.516 crystal_system=cubic space_group="Pm-3m, No. 221" magmom_total_mub_per_cell=3.291 pbc="T T T"
Be 0.000 0.000 2.234
Be 0.000 2.234 0.000
Be 2.234 0.000 0.000
Tl 0.000 0.000 0.000
V 2.234 2.234 2.234

---

[8]
8
Lattice="-3.721 3.721 2.904 3.721 -3.721 2.904 3.721 3.721 -2.904" Properties=species:S:1:pos:R:3 comment="BeTl2V PBE optimized geometry" dos_ef_per_ev_cell=9.48 polymorph_energy_mev_per_atom=61 ef_ev_per_atom=0.827 crystal_system=tetragonal space_group="I-42d, No. 122" magmom_total_mub_per_cell=4.414 pbc="T T T"
Be 0.000 0.000 0.000
Be 0.000 3.721 1.452
Tl 1.860 1.528 -0.726
Tl 2.193 -1.860 3.630
Tl 1.860 2.193 2.178
Tl 1.528 5.581 0.726
V 3.721 0.000 1.452
V 0.000 0.000 2.904

---

[9]
4
Lattice="0.000 3.387 3.387 3.387 0.000 3.387 3.387 3.387 0.000" Properties=species:S:1:pos:R:3 comment="BeTl2V PBE optimized geometry" dos_ef_per_ev_cell=2.51 polymorph_energy_mev_per_atom=0 ef_ev_per_atom=0.766 crystal_system=cubic space_group="Fm-3m, No. 225" magmom_total_mub_per_cell=2.962 pbc="T T T"
Be 0.000 0.000 0.000
Tl 1.693 1.693 1.693
Tl 5.080 5.080 5.080
V 3.387 3.387 3.387

---

[10]
5
Lattice="4.211 0.000 0.000 0.000 4.211 0.000 0.000 0.000 4.211" Properties=species:S:1:pos:R:3 comment="BeTlV3 PBE optimized geometry" dos_ef_per_ev_cell=3.19 polymorph_energy_mev_per_atom=0 ef_ev_per_atom=0.548 crystal_system=cubic space_group="Pm-3m, No. 221" magmom_total_mub_per_cell=0.000 pbc="T T T"
Be 0.000 0.000 0.000
Tl 2.106 2.106 2.106
V 0.000 0.000 2.106
V 0.000 2.106 0.000
V 2.106 0.000 0.000

---

[11]
3
Lattice="4.451 0.000 0.000 -2.226 3.855 0.000 0.000 0.000 2.828" Properties=species:S:1:pos:R:3 comment="BeTlW PBE optimized geometry" dos_ef_per_ev_cell=1.41 polymorph_energy_mev_per_atom=218 ef_ev_per_atom=0.992 crystal_system=trigonal space_group="P3m1, No. 156" magmom_total_mub_per_cell=0.000 pbc="T T T"
Be 0.000 0.000 0.000
Tl 2.226 1.285 0.013
W 0.000 2.570 1.426

---

[12]
4
Lattice="0.000 3.027 3.027 3.027 0.000 3.027 3.027 3.027 0.000" Properties=species:S:1:pos:R:3 comment="Be2TlW PBE optimized geometry" dos_ef_per_ev_cell=2.93 polymorph_energy_mev_per_atom=407 ef_ev_per_atom=0.910 crystal_system=cubic space_group="Fm-3m, No. 225" magmom_total_mub_per_cell=0.000 pbc="T T T"
Be 1.514 1.514 1.514
Be 4.541 4.541 4.541
Tl 0.000 0.000 0.000
W 3.027 3.027 3.027

---

[13]
4
Lattice="-1.774 1.774 4.467 1.774 -1.774 4.467 1.774 1.774 -4.467" Properties=species:S:1:pos:R:3 comment="Be2TlW PBE optimized geometry" dos_ef_per_ev_cell=1.40 polymorph_energy_mev_per_atom=108 ef_ev_per_atom=0.611 crystal_system=tetragonal space_group="I-4m2, No. 119" magmom_total_mub_per_cell=0.000 pbc="T T T"
Be 0.000 0.000 0.000
Be 0.000 1.774 2.233
Tl 1.774 0.000 2.233
W 0.000 0.000 4.467

---

[14]
4
Lattice="4.035 0.000 0.000 0.000 4.035 0.000 0.000 0.000 3.403" Properties=species:S:1:pos:R:3 comment="Be2TlW PBE optimized geometry" dos_ef_per_ev_cell=2.71 polymorph_energy_mev_per_atom=134 ef_ev_per_atom=0.637 crystal_system=tetragonal space_group="P4/mmm, No. 123" magmom_total_mub_per_cell=0.001 pbc="T T T"
Be 0.000 2.018 0.000
Be 2.018 0.000 0.000
Tl 0.000 0.000 1.702
W 2.018 2.018 1.702

---

[15]
4
Lattice="2.964 0.000 0.000 0.000 2.964 0.000 0.000 0.000 6.600" Properties=species:S:1:pos:R:3 comment="Be2TlW PBE optimized geometry" dos_ef_per_ev_cell=1.67 polymorph_energy_mev_per_atom=170 ef_ev_per_atom=0.673 crystal_system=tetragonal space_group="P4mm, No. 99" magmom_total_mub_per_cell=0.000 pbc="T T T"
Be 0.000 0.000 0.000
Be 1.482 1.482 0.976
Tl 0.000 0.000 2.929
W 1.482 1.482 5.204

---

[16]
3
Lattice="-1.406 1.406 6.925 1.406 -1.406 6.925 1.406 1.406 -6.925" Properties=species:S:1:pos:R:3 comment="BeTlW PBE optimized geometry" dos_ef_per_ev_cell=1.76 polymorph_energy_mev_per_atom=57 ef_ev_per_atom=0.832 crystal_system=tetragonal space_group="I4mm, No. 107" magmom_total_mub_per_cell=0.000 pbc="T T T"
Be 0.000 0.000 0.000
Tl 0.000 0.000 9.697
W 0.000 0.000 5.381

---

[17]
3
Lattice="0.000 2.198 6.844 1.784 0.000 6.844 1.784 2.198 0.000" Properties=species:S:1:pos:R:3 comment="BeTlW PBE optimized geometry" dos_ef_per_ev_cell=1.77 polymorph_energy_mev_per_atom=58 ef_ev_per_atom=0.832 crystal_system=orthorhombic space_group="Fmm2, No. 42" magmom_total_mub_per_cell=0.000 pbc="T T T"
Be 0.000 0.000 0.000
Tl 1.784 2.198 9.460
W 1.784 2.198 5.232

---

[18]
4
Lattice="2.871 -3.463 0.000 2.871 3.463 0.000 -0.010 0.000 2.868" Properties=species:S:1:pos:R:3 comment="Be2TlW PBE optimized geometry" dos_ef_per_ev_cell=1.44 polymorph_energy_mev_per_atom=165 ef_ev_per_atom=0.667 crystal_system=monoclinic space_group="C2/m, No. 12" magmom_total_mub_per_cell=0.000 pbc="T T T"
Be 1.436 1.732 0.000
Be 1.436 -1.732 0.000
Tl -0.005 0.000 1.434
W 2.866 0.000 1.434

---

[19]
4
Lattice="2.834 0.000 0.000 0.000 3.625 0.000 0.000 0.000 5.923" Properties=species:S:1:pos:R:3 comment="Be2TlW PBE optimized geometry" dos_ef_per_ev_cell=1.03 polymorph_energy_mev_per_atom=115 ef_ev_per_atom=0.618 crystal_system=orthorhombic space_group="Pmm2, No. 25" magmom_total_mub_per_cell=0.000 pbc="T T T"
Be 0.000 0.000 0.000
Be 0.000 1.813 1.079
Tl 0.000 1.813 4.064
W 1.417 0.000 2.027

---

[20]
4
Lattice="4.374 -1.434 0.000 4.374 1.434 0.000 -0.657 0.000 5.053" Properties=species:S:1:pos:R:3 comment="Be2TlW PBE optimized geometry" dos_ef_per_ev_cell=1.78 polymorph_energy_mev_per_atom=145 ef_ev_per_atom=0.648 crystal_system=monoclinic space_group="C2/m, No. 12" magmom_total_mub_per_cell=0.000 pbc="T T T"
Be 1.915 0.000 0.724
Be 6.177 0.000 4.328
Tl -0.329 0.000 2.526
W 4.374 0.000 0.000